HoB2O4: optimized geometry, PBE-GGA.

abc: 5.148 5.148 5.148
angles: 98.91 98.91 133.66
Element x y z (fractional)
1 Ho 0.500 0.500 0.000
2 B 0.250 0.750 0.500
3 B 0.750 0.250 0.500
4 O 0.498 0.163 0.660
5 O 0.837 0.498 0.335
6 O 0.163 0.502 0.665
7 O 0.502 0.837 0.340

Computed properties:
Energy relative to the elements, uncorrected, meV/atom: -2477
Uncorrected energy, eV per atom: -7.87
E above lowest polymorph, eV per formula unit: 0.00
Size of the total moment, μB per formula unit: 0.0